[1]
ScTc2Au | the Alexandria database | PBE | optimized geometry; formation enthalpy at 0 K = 55 meV per atom; DOS(E_F) = 4.02 states/eV per cell; calculated total energy = -7.530 eV per atom
1.0
2.989 0.000 0.000
0.000 4.829 0.000
-0.247 0.000 4.751
Sc Tc Au
1 2 1
direct
0.000 0.000 0.000
0.317 0.500 0.771
0.683 0.500 0.229
0.500 0.000 0.500

---

[2]
ScTc2Au | the Alexandria database | PBE | optimized geometry; formation enthalpy at 0 K = -199 meV per atom; DOS(E_F) = 3.16 states/eV per cell; calculated total energy = -7.784 eV per atom
1.0
3.051 0.000 0.000
0.000 3.051 0.000
0.000 0.000 7.330
Sc Tc Au
1 2 1
direct
0.000 0.000 0.000
0.000 0.000 0.453
0.500 0.500 0.263
0.500 0.500 0.729

---

[3]
Sc2Tc2Au | the Alexandria database | PBE | optimized geometry; formation enthalpy at 0 K = -174 meV per atom; DOS(E_F) = 7.27 states/eV per cell; calculated total energy = -7.508 eV per atom
1.0
6.907 0.000 0.000
0.000 6.907 0.000
0.000 0.000 3.923
Sc Tc Au
4 4 2
direct
0.179 0.321 0.000
0.321 0.821 0.000
0.679 0.179 0.000
0.821 0.679 0.000
0.118 0.618 0.500
0.382 0.118 0.500
0.618 0.882 0.500
0.882 0.382 0.500
0.000 0.000 0.500
0.500 0.500 0.500

---

[4]
ScTc2Au | the Alexandria database | PBE | optimized geometry; formation enthalpy at 0 K = 296 meV per atom; DOS(E_F) = 1.62 states/eV per cell; calculated total energy = -7.289 eV per atom
1.0
0.000 3.213 3.213
3.213 0.000 3.213
3.213 3.213 0.000
Sc Tc Au
1 2 1
direct
0.000 0.000 0.000
0.250 0.250 0.250
0.750 0.750 0.750
0.500 0.500 0.500

---

[5]
ScTc2Au | the Alexandria database | PBE | optimized geometry; formation enthalpy at 0 K = -83 meV per atom; DOS(E_F) = 2.79 states/eV per cell; calculated total energy = -7.668 eV per atom
1.0
-2.077 2.077 3.796
2.077 -2.077 3.796
2.077 2.077 -3.796
Sc Tc Au
1 2 1
direct
0.000 0.000 0.000
0.250 0.750 0.500
0.500 0.500 0.000
0.750 0.250 0.500

---

[6]
Sc2TcAu | the Alexandria database | PBE | optimized geometry; formation enthalpy at 0 K = -347 meV per atom; DOS(E_F) = 2.49 states/eV per cell; calculated total energy = -6.924 eV per atom
1.0
-1.785 2.190 4.695
1.785 -2.190 4.695
1.785 2.190 -4.695
Sc Tc Au
2 1 1
direct
0.000 0.000 0.000
0.729 0.229 0.500
0.228 0.728 0.500
0.474 0.474 0.000

---

[7]
ScTc2Au | the Alexandria database | PBE | optimized geometry; formation enthalpy at 0 K = 228 meV per atom; DOS(E_F) = 4.99 states/eV per cell; calculated total energy = -7.358 eV per atom
1.0
3.415 0.000 0.000
0.000 3.415 0.000
0.000 0.000 5.714
Sc Tc Au
1 2 1
direct
0.000 0.000 0.000
0.500 0.500 0.233
0.500 0.500 0.767
0.000 0.000 0.500

---

[8]
ScTc2Au | the Alexandria database | PBE | optimized geometry; formation enthalpy at 0 K = 229 meV per atom; DOS(E_F) = 5.47 states/eV per cell; calculated total energy = -7.356 eV per atom
1.0
1.713 -2.154 0.000
1.713 2.154 0.000
0.000 0.000 9.013
Sc Tc Au
1 2 1
direct
0.000 0.000 0.000
0.500 0.500 0.250
0.500 0.500 0.750
0.000 0.000 0.500

---

[9]
ScTc2Au | the Alexandria database | PBE | optimized geometry; formation enthalpy at 0 K = 243 meV per atom; DOS(E_F) = 5.80 states/eV per cell; calculated total energy = -7.342 eV per atom
1.0
-1.918 1.918 9.919
1.918 -1.918 9.919
1.918 1.918 -9.919
Sc Tc Au
2 4 2
direct
0.000 0.000 0.000
0.750 0.250 0.500
0.073 0.625 0.948
0.375 0.323 0.448
0.677 0.125 0.052
0.875 0.927 0.552
0.250 0.750 0.500
0.500 0.500 0.000

---

[10]
Sc2TcAu | the Alexandria database | PBE | optimized geometry; formation enthalpy at 0 K = 240 meV per atom; DOS(E_F) = 6.89 states/eV per cell; calculated total energy = -6.337 eV per atom
1.0
-2.120 2.120 9.000
2.120 -2.120 9.000
2.120 2.120 -9.000
Sc Tc Au
4 2 2
direct
0.112 0.625 0.987
0.375 0.362 0.487
0.638 0.125 0.013
0.875 0.888 0.513
0.000 0.000 0.000
0.750 0.250 0.500
0.250 0.750 0.500
0.500 0.500 0.000